[1]
## SrInPCl2 (SCAN)

Data for a crystal of SrInPCl2 relaxed with PBEsol.

Electronic total energy, eV per cell: -86.13
Energy relative to the elements, uncorrected, meV/atom: -823

Geometry as POSCAR:
```
SrInPCl2
1.0
-2.6911 4.7103 -0.5939
-3.3253 -1.3828 4.1002
3.6890 2.5952 3.8670
P Cl Sr In
1 2 1 1
Direct
0.0000 0.0000 0.5000
0.0000 0.5000 0.0000
0.5000 0.0000 0.0000
0.0000 0.0000 0.0000
0.5000 0.5000 0.5000
```

[2]
## TaInPCl2 (SCAN)

Data for a crystal of TaInPCl2 relaxed with PBEsol.

Electronic total energy, eV per cell: -122.15
Energy relative to the elements, uncorrected, meV/atom: 835

Geometry as POSCAR:
```
TaInPCl2
1.0
4.8265 0.0000 0.0000
0.0000 4.8265 0.0000
0.0000 0.0000 5.1721
P Ta In Cl
1 1 1 2
Direct
0.0000 0.0000 0.5000
0.5000 0.5000 0.5000
0.0000 0.0000 0.0000
0.5000 0.0000 0.0000
0.0000 0.5000 0.0000
```

Please write out number 1 again, unchanged.
## SrInPCl2 (SCAN)

Data for a crystal of SrInPCl2 relaxed with PBEsol.

Electronic total energy, eV per cell: -86.13
Energy relative to the elements, uncorrected, meV/atom: -823

Geometry as POSCAR:
```
SrInPCl2
1.0
-2.6911 4.7103 -0.5939
-3.3253 -1.3828 4.1002
3.6890 2.5952 3.8670
P Cl Sr In
1 2 1 1
Direct
0.0000 0.0000 0.5000
0.0000 0.5000 0.0000
0.5000 0.0000 0.0000
0.0000 0.0000 0.0000
0.5000 0.5000 0.5000
```